No. 1
# TeBrCl PBE optimized geometry
data_TeBrCl
_chemical_formula_sum 'Te2 Br2 Cl2'
_cell_length_a 5.875
_cell_length_b 6.745
_cell_length_c 7.247
_cell_angle_alpha 69.85
_cell_angle_beta 69.78
_cell_angle_gamma 86.97
_space_group_name_H-M_alt 'P 1'
_space_group_IT_number 1
loop_
_space_group_symop_operation_xyz
'x,y,z'
loop_
_atom_site_label
_atom_site_fract_x
_atom_site_fract_y
_atom_site_fract_z
Te1 0.000 0.000 0.000
Te2 0.209 0.937 0.628
Br1 0.120 0.244 0.336
Br2 0.889 0.669 0.659
Cl1 0.445 0.213 0.703
Cl2 0.626 0.777 0.167
# - formation energy from raw total energies (eV/atom) = -0.33
# - M_tot (μB per cell) = 0.00
# - E above lowest polymorph (kJ/mol of formula units) = 12
# - space-group type = No. 1
# - total DFT energy (no corrections) (eV/f.u.) = -7.64


No. 2
# Cs2Tl9Sb3 PBE optimized geometry
data_Cs2Tl9Sb3
_chemical_formula_sum 'Cs4 Tl18 Sb6'
_cell_length_a 9.722
_cell_length_b 9.722
_cell_length_c 13.518
_cell_angle_alpha 110.94
_cell_angle_beta 110.94
_cell_angle_gamma 59.98
_space_group_name_H-M_alt 'P 1'
_space_group_IT_number 1
loop_
_space_group_symop_operation_xyz
'x,y,z'
loop_
_atom_site_label
_atom_site_fract_x
_atom_site_fract_y
_atom_site_fract_z
Cs1 0.088 0.250 0.249
Cs2 0.250 0.088 0.749
Cs3 0.750 0.912 0.251
Cs4 0.912 0.750 0.751
Tl1 0.034 0.852 0.081
Tl2 0.148 0.966 0.419
Tl3 0.203 0.364 0.580
Tl4 0.221 0.581 0.250
Tl5 0.315 0.480 0.929
Tl6 0.364 0.203 0.080
Tl7 0.378 0.622 0.750
Tl8 0.419 0.779 0.250
Tl9 0.480 0.315 0.429
Tl10 0.520 0.685 0.571
Tl11 0.581 0.221 0.750
Tl12 0.622 0.378 0.250
Tl13 0.636 0.797 0.920
Tl14 0.685 0.520 0.071
Tl15 0.779 0.419 0.750
Tl16 0.797 0.636 0.420
Tl17 0.852 0.034 0.581
Tl18 0.966 0.148 0.919
Sb1 0.000 0.500 0.000
Sb2 0.159 0.668 0.495
Sb3 0.332 0.841 0.005
Sb4 0.500 0.000 0.500
Sb5 0.668 0.159 0.995
Sb6 0.841 0.332 0.505
# - formation energy from raw total energies (eV/atom) = -0.11
# - M_tot (μB per cell) = 0.00
# - space-group type = No. 15
# - DOS(E_F) (states/eV/f.u.) = 6.00
# - total DFT energy (no corrections) (eV/f.u.) = -36.94


No. 3
# K3Na5Sn2 PBE optimized geometry
data_K3Na5Sn2
_chemical_formula_sum 'K6 Na10 Sn4'
_cell_length_a 11.498
_cell_length_b 11.498
_cell_length_c 11.498
_cell_angle_alpha 103.74
_cell_angle_beta 85.88
_cell_angle_gamma 146.55
_space_group_name_H-M_alt 'P 1'
_space_group_IT_number 1
loop_
_space_group_symop_operation_xyz
'x,y,z'
loop_
_atom_site_label
_atom_site_fract_x
_atom_site_fract_y
_atom_site_fract_z
K1 0.247 0.079 0.326
K2 0.250 0.250 0.000
K3 0.253 0.579 0.833
K4 0.747 0.421 0.167
K5 0.750 0.750 0.000
K6 0.753 0.921 0.674
Na1 0.172 0.299 0.471
Na2 0.250 0.504 0.254
Na3 0.250 0.750 0.500
Na4 0.250 0.996 0.746
Na5 0.328 0.799 0.127
Na6 0.672 0.201 0.873
Na7 0.750 0.004 0.254
Na8 0.750 0.250 0.500
Na9 0.750 0.496 0.746
Na10 0.828 0.701 0.529
Sn1 0.146 0.827 0.973
Sn2 0.354 0.327 0.682
Sn3 0.646 0.673 0.318
Sn4 0.854 0.173 0.027
# - formation energy (eV/atom) = -0.016
# - M_tot (μB per cell) = 1.51
# - space-group type = No. 72
# - DOS(E_F) (states/eV/f.u.) = 7.40
# - total DFT energy (no corrections) (eV/f.u.) = -18.05


No. 4
# Pm3Sm4S8 PBE optimized geometry
data_Pm3Sm4S8
_chemical_formula_sum 'Pm3 Sm4 S8'
_cell_length_a 8.026
_cell_length_b 8.026
_cell_length_c 8.023
_cell_angle_alpha 119.98
_cell_angle_beta 119.98
_cell_angle_gamma 90.01
_space_group_name_H-M_alt 'P 1'
_space_group_IT_number 1
loop_
_space_group_symop_operation_xyz
'x,y,z'
loop_
_atom_site_label
_atom_site_fract_x
_atom_site_fract_y
_atom_site_fract_z
Pm1 0.000 0.000 0.000
Pm2 0.000 0.500 0.000
Pm3 0.500 0.000 0.000
Sm1 0.000 0.500 0.500
Sm2 0.500 0.000 0.500
Sm3 0.500 0.500 0.000
Sm4 0.500 0.500 0.500
S1 0.250 0.750 0.500
S2 0.251 0.251 0.001
S3 0.251 0.251 0.501
S4 0.251 0.749 0.000
S5 0.749 0.251 0.000
S6 0.749 0.749 0.499
S7 0.749 0.749 0.999
S8 0.750 0.250 0.500
# - formation energy from raw total energies (eV/atom) = -2.05
# - M_tot (μB per cell) = 0.00
# - space-group type = No. 12
# - DOS(E_F) (states/eV/f.u.) = 6.82
# - total DFT energy (no corrections) (eV/f.u.) = -96.94


No. 5
# Li5SmPb6 PBE optimized geometry
data_Li5SmPb6
_chemical_formula_sum 'Li5 Sm1 Pb6'
_cell_length_a 8.270
_cell_length_b 8.270
_cell_length_c 7.218
_cell_angle_alpha 90.00
_cell_angle_beta 90.00
_cell_angle_gamma 144.11
_space_group_name_H-M_alt 'P 1'
_space_group_IT_number 1
loop_
_space_group_symop_operation_xyz
'x,y,z'
loop_
_atom_site_label
_atom_site_fract_x
_atom_site_fract_y
_atom_site_fract_z
Li1 0.000 0.000 0.000
Li2 0.329 0.671 0.000
Li3 0.338 0.662 0.500
Li4 0.662 0.338 0.500
Li5 0.671 0.329 0.000
Sm1 0.000 0.000 0.500
Pb1 0.174 0.826 0.243
Pb2 0.174 0.826 0.757
Pb3 0.500 0.500 0.224
Pb4 0.500 0.500 0.776
Pb5 0.826 0.174 0.243
Pb6 0.826 0.174 0.757
# - formation energy (eV/atom) = -0.304
# - M_tot (μB per cell) = 0.00
# - space-group type = No. 65
# - DOS(E_F) (states/eV/f.u.) = 6.03
# - total DFT energy (no corrections) (eV/f.u.) = -40.18


No. 6
# Sm2NpTl2Se6 PBE optimized geometry
data_Sm2NpTl2Se6
_chemical_formula_sum 'Sm2 Np1 Tl2 Se6'
_cell_length_a 7.305
_cell_length_b 7.305
_cell_length_c 8.175
_cell_angle_alpha 98.80
_cell_angle_beta 98.80
_cell_angle_gamma 119.90
_space_group_name_H-M_alt 'P 1'
_space_group_IT_number 1
loop_
_space_group_symop_operation_xyz
'x,y,z'
loop_
_atom_site_label
_atom_site_fract_x
_atom_site_fract_y
_atom_site_fract_z
Sm1 0.167 0.833 0.000
Sm2 0.833 0.167 0.000
Np1 0.500 0.500 0.000
Tl1 0.331 0.669 0.500
Tl2 0.669 0.331 0.500
Se1 0.107 0.432 0.796
Se2 0.249 0.249 0.205
Se3 0.432 0.107 0.796
Se4 0.568 0.893 0.204
Se5 0.751 0.751 0.795
Se6 0.893 0.568 0.204
# - formation energy from raw total energies (eV/atom) = -1.29
# - M_tot (μB per cell) = 3.00
# - space-group type = No. 12
# - DOS(E_F) (states/eV/f.u.) = 5.62
# - total DFT energy (no corrections) (eV/f.u.) = -62.22


- What is the total DFT energy (no corrections) in the third record?
  -18.05 eV/f.u.


- Among the records above, which one has the highest total DFT energy (no corrections)?
  TeBrCl


- The highest total DFT energy (no corrections) belongs to which entry?
  TeBrCl